# VSiNi2O6

VSiNi2O6 after structural relaxation (GGA+U, the Alexandria database).

Uncorrected energy (Ry/atom): -0.481
Space group: P1

Cell and atoms, written as POSCAR:
```
VSiNi2O6
1.0
-2.2401 4.4108 -0.2178
-1.8482 1.9858 4.1253
2.5152 4.1226 2.0997
V Si Ni O
1 1 2 6
direct
0.8145 0.8218 0.5534
0.3071 0.3279 0.0512
0.5206 0.5274 0.4245
0.0212 0.0209 0.9403
0.5770 0.2087 0.2421
0.2111 0.9690 0.2439
0.9635 0.5805 0.2523
0.4423 0.6780 0.7740
0.6956 0.0886 0.7617
0.1086 0.4387 0.7719
```